## Tb2PmNdN4 (PBE)

Data for a relaxed Tb2PmNdN4 crystal.

Values from the calculation:
**DOS(E_F)**: 0.27 states/eV/cell
**Final energy**: -8.03 eV/atom
**M_tot**: 0.00 μB per cell
**ρ**: 8580 kg/m³

Structure (POSCAR):
```
Tb2PmNdN4
1.0
6.174 0.000 0.000
0.000 3.567 0.000
-2.054 0.000 5.828
Tb Pm Nd N
2 1 1 4
Cartesian
0.000 0.000 0.000
3.087 1.783 0.000
-1.027 1.783 2.914
2.060 0.000 2.914
1.024 1.783 1.406
-0.003 0.000 4.416
4.124 0.000 1.412
3.097 1.783 4.422
```